1.
Below is a relaxed structure of Hf3ZrPb, with properties calculated at the PBE level.

abc: 5.289 5.289 5.289
angles: 90.00 90.00 90.00
Positions (direct):
Hf (0.000, 0.000, 0.500)
Hf (0.000, 0.500, 0.000)
Hf (0.500, 0.000, 0.000)
Zr (0.500, 0.500, 0.500)
Pb (0.000, 0.000, 0.000)

uncorrected energy: -7.095 eV/atom
ρ: 9.36 g cm⁻³
D(E_F): 7.12 states/eV/f.u.
spin magnetization: 1.4 Bohr magnetons per cell
formation energy: 6.640 eV/f.u.

2.
Below is a relaxed structure of Hf3ZrPb, with properties calculated at the PBE level.

abc: 7.875 7.882 8.811
angles: 90.00 119.92 90.00
Positions (direct):
Hf (0.064, 0.188, 0.020)
Hf (0.064, 0.312, 0.520)
Hf (0.179, 0.582, 0.309)
Hf (0.179, 0.918, 0.809)
Hf (0.369, 0.591, 0.712)
Hf (0.369, 0.909, 0.212)
Hf (0.631, 0.091, 0.788)
Hf (0.631, 0.409, 0.288)
Hf (0.821, 0.082, 0.191)
Hf (0.821, 0.418, 0.691)
Hf (0.936, 0.688, 0.480)
Hf (0.936, 0.812, 0.980)
Zr (0.209, 0.560, 0.981)
Zr (0.209, 0.940, 0.481)
Zr (0.791, 0.060, 0.519)
Zr (0.791, 0.440, 0.019)
Pb (0.397, 0.246, 0.928)
Pb (0.397, 0.254, 0.428)
Pb (0.603, 0.746, 0.572)
Pb (0.603, 0.754, 0.072)

uncorrected energy: -8.334 eV/atom
ρ: 11.69 g cm⁻³
D(E_F): 5.03 states/eV/f.u.
spin magnetization: 0.0 Bohr magnetons per cell
formation energy: 0.447 eV/f.u.

3.
Below is a relaxed structure of Hf2Zr3Pb3, with properties calculated at the PBE level.

abc: 8.619 8.619 5.845
angles: 90.00 90.00 120.00
Positions (direct):
Hf (0.333, 0.667, 0.000)
Hf (0.333, 0.667, 0.500)
Hf (0.667, 0.333, 0.000)
Hf (0.667, 0.333, 0.500)
Zr (0.000, 0.246, 0.250)
Zr (0.000, 0.754, 0.750)
Zr (0.246, 0.000, 0.250)
Zr (0.246, 0.246, 0.750)
Zr (0.754, 0.000, 0.750)
Zr (0.754, 0.754, 0.250)
Pb (0.000, 0.392, 0.750)
Pb (0.000, 0.608, 0.250)
Pb (0.392, 0.000, 0.750)
Pb (0.392, 0.392, 0.250)
Pb (0.608, 0.000, 0.250)
Pb (0.608, 0.608, 0.750)

uncorrected energy: -7.257 eV/atom
ρ: 11.06 g cm⁻³
D(E_F): 4.23 states/eV/f.u.
spin magnetization: 0.0 Bohr magnetons per cell
formation energy: -1.376 eV/f.u.

4.
Below is a relaxed structure of HfZr3Pb, with properties calculated at the PBE level.

abc: 5.329 5.329 5.329
angles: 90.00 90.00 90.00
Positions (direct):
Hf (0.000, 0.000, 0.000)
Zr (0.000, 0.500, 0.500)
Zr (0.500, 0.000, 0.500)
Zr (0.500, 0.500, 0.000)
Pb (0.500, 0.500, 0.500)

uncorrected energy: -6.664 eV/atom
ρ: 7.23 g cm⁻³
D(E_F): 10.89 states/eV/f.u.
spin magnetization: 0.0 Bohr magnetons per cell
formation energy: 5.987 eV/f.u.

5.
Below is a relaxed structure of Hf2Zr2Pb, with properties calculated at the PBE level.

abc: 7.692 7.692 4.005
angles: 90.00 90.00 90.00
Positions (direct):
Hf (0.132, 0.368, 0.000)
Hf (0.368, 0.868, 0.000)
Hf (0.632, 0.132, 0.000)
Hf (0.868, 0.632, 0.000)
Zr (0.167, 0.667, 0.500)
Zr (0.333, 0.167, 0.500)
Zr (0.667, 0.833, 0.500)
Zr (0.833, 0.333, 0.500)
Pb (0.000, 0.000, 0.000)
Pb (0.500, 0.500, 0.000)

uncorrected energy: -8.042 eV/atom
ρ: 10.46 g cm⁻³
D(E_F): 6.10 states/eV/f.u.
spin magnetization: 0.0 Bohr magnetons per cell
formation energy: 0.499 eV/f.u.

6.
Below is a relaxed structure of HfZrPb2, with properties calculated at the PBE level.

abc: 4.703 4.703 4.314
angles: 90.00 90.00 90.00
Positions (direct):
Hf (0.000, 0.000, 0.000)
Zr (0.500, 0.500, 0.000)
Pb (0.000, 0.500, 0.500)
Pb (0.500, 0.000, 0.500)

uncorrected energy: -6.462 eV/atom
ρ: 11.91 g cm⁻³
D(E_F): 1.77 states/eV/f.u.
spin magnetization: 0.0 Bohr magnetons per cell
formation energy: 0.068 eV/f.u.

7.
Below is a relaxed structure of HfZrPb2, with properties calculated at the PBE level.

abc: 3.316 3.316 8.668
angles: 90.00 90.00 90.00
Positions (direct):
Hf (0.000, 0.000, 0.000)
Zr (0.000, 0.000, 0.500)
Pb (0.500, 0.500, 0.249)
Pb (0.500, 0.500, 0.751)

uncorrected energy: -6.467 eV/atom
ρ: 11.92 g cm⁻³
D(E_F): 2.43 states/eV/f.u.
spin magnetization: 0.0 Bohr magnetons per cell
formation energy: 0.051 eV/f.u.

8.
Below is a relaxed structure of Hf2Zr15Pb2, with properties calculated at the PBE level.

abc: 7.897 7.897 7.897
angles: 77.85 77.85 77.85
Positions (direct):
Hf (0.088, 0.088, 0.088)
Hf (0.912, 0.912, 0.912)
Zr (0.000, 0.000, 0.500)
Zr (0.000, 0.299, 0.701)
Zr (0.000, 0.500, 0.000)
Zr (0.000, 0.701, 0.299)
Zr (0.164, 0.624, 0.624)
Zr (0.299, 0.000, 0.701)
Zr (0.299, 0.701, 0.000)
Zr (0.376, 0.376, 0.836)
Zr (0.376, 0.836, 0.376)
Zr (0.500, 0.000, 0.000)
Zr (0.624, 0.164, 0.624)
Zr (0.624, 0.624, 0.164)
Zr (0.701, 0.000, 0.299)
Zr (0.701, 0.299, 0.000)
Zr (0.836, 0.376, 0.376)
Pb (0.290, 0.290, 0.290)
Pb (0.710, 0.710, 0.710)

uncorrected energy: -7.835 eV/atom
ρ: 7.67 g cm⁻³
D(E_F): 34.32 states/eV/f.u.
spin magnetization: 0.0 Bohr magnetons per cell
formation energy: 6.681 eV/f.u.

9.
Below is a relaxed structure of Hf3ZrPb, with properties calculated at the PBE level.

abc: 7.275 4.273 7.451
angles: 90.00 90.51 90.00
Positions (direct):
Hf (0.144, 0.250, 0.048)
Hf (0.243, 0.750, 0.759)
Hf (0.343, 0.250, 0.474)
Hf (0.657, 0.750, 0.526)
Hf (0.757, 0.250, 0.241)
Hf (0.856, 0.750, 0.952)
Zr (0.044, 0.750, 0.350)
Zr (0.956, 0.250, 0.650)
Pb (0.438, 0.750, 0.172)
Pb (0.562, 0.250, 0.828)

uncorrected energy: -8.441 eV/atom
ρ: 11.96 g cm⁻³
D(E_F): 4.76 states/eV/f.u.
spin magnetization: 0.0 Bohr magnetons per cell
formation energy: -0.087 eV/f.u.

10.
Below is a relaxed structure of Hf2Zr2Pb, with properties calculated at the PBE level.

abc: 7.654 7.654 4.078
angles: 90.00 90.00 90.00
Positions (direct):
Hf (0.161, 0.339, 0.000)
Hf (0.339, 0.839, 0.000)
Hf (0.661, 0.161, 0.000)
Hf (0.839, 0.661, 0.000)
Zr (0.136, 0.636, 0.500)
Zr (0.364, 0.136, 0.500)
Zr (0.636, 0.864, 0.500)
Zr (0.864, 0.364, 0.500)
Pb (0.000, 0.000, 0.500)
Pb (0.500, 0.500, 0.500)

uncorrected energy: -8.010 eV/atom
ρ: 10.38 g cm⁻³
D(E_F): 3.74 states/eV/f.u.
spin magnetization: 0.0 Bohr magnetons per cell
formation energy: 0.660 eV/f.u.

11.
Below is a relaxed structure of HfZrPb2, with properties calculated at the PBE level.

abc: 4.549 4.549 18.143
angles: 90.00 90.00 120.00
Positions (direct):
Hf (0.000, 0.000, 0.000)
Hf (0.333, 0.667, 0.667)
Hf (0.667, 0.333, 0.333)
Zr (0.000, 0.000, 0.178)
Zr (0.333, 0.667, 0.845)
Zr (0.667, 0.333, 0.511)
Pb (0.000, 0.000, 0.588)
Pb (0.000, 0.000, 0.760)
Pb (0.333, 0.667, 0.254)
Pb (0.333, 0.667, 0.426)
Pb (0.667, 0.333, 0.093)
Pb (0.667, 0.333, 0.921)

uncorrected energy: -6.312 eV/atom
ρ: 10.48 g cm⁻³
D(E_F): 1.96 states/eV/f.u.
spin magnetization: 0.0 Bohr magnetons per cell
formation energy: 0.669 eV/f.u.

12.
Below is a relaxed structure of Hf2ZrPb2, with properties calculated at the PBE level.

abc: 8.542 8.542 3.317
angles: 90.00 90.00 90.00
Positions (direct):
Hf (0.126, 0.374, 0.000)
Hf (0.374, 0.874, 0.000)
Hf (0.626, 0.126, 0.000)
Hf (0.874, 0.626, 0.000)
Zr (0.000, 0.000, 0.000)
Zr (0.500, 0.500, 0.000)
Pb (0.173, 0.673, 0.500)
Pb (0.327, 0.173, 0.500)
Pb (0.673, 0.827, 0.500)
Pb (0.827, 0.327, 0.500)

uncorrected energy: -6.932 eV/atom
ρ: 11.84 g cm⁻³
D(E_F): 3.77 states/eV/f.u.
spin magnetization: 0.0 Bohr magnetons per cell
formation energy: 1.214 eV/f.u.